No. 1
{
  "formula": "KSr4Cd5",
  "functional": "PBE",
  "state": "optimized geometry",
  "dft_energy_ev_per_cell": -14.93,
  "space_group": "P4/mmm (123)",
  "dos_at_fermi_per_ev_atom": 0.71,
  "total_magnetization_mub_per_cell": 0.00,
  "cell": [[-2.235, -2.394, 2.353], [-2.148, -1.152, -3.213], [13.553, -15.940, -3.344]],
  "species": ["Cd", "Sr", "Sr", "Cd", "K", "Sr", "Cd", "Cd", "Cd", "Sr"],
  "fractional_positions": [[0.500, 0.500, 0.114], [0.000, 0.000, 0.403], [0.000, 0.000, 0.208], [0.500, 0.500, 0.500], [0.000, 0.000, 0.000], [0.000, 0.000, 0.597], [0.500, 0.500, 0.886], [0.500, 0.500, 0.695], [0.500, 0.500, 0.305], [0.000, 0.000, 0.792]]
}

***

No. 2
{
  "formula": "KSr2Cd",
  "functional": "PBE",
  "state": "optimized geometry",
  "dft_energy_ev_per_cell": -9.22,
  "space_group": "I-42d (122)",
  "dos_at_fermi_per_ev_atom": 0.70,
  "total_magnetization_mub_per_cell": 0.00,
  "cell": [[-4.246, 3.422, -0.026], [-2.679, -3.349, -3.369], [-8.530, -6.173, 8.507]],
  "species": ["Sr", "Sr", "K", "Sr", "K", "Cd", "Cd", "Sr"],
  "fractional_positions": [[0.875, 0.893, 0.750], [0.375, 0.357, 0.750], [0.500, 0.500, 0.000], [0.107, 0.625, 0.250], [0.250, 0.750, 0.500], [0.000, 0.000, 0.000], [0.750, 0.250, 0.500], [0.643, 0.125, 0.250]]
}

***

No. 3
{
  "formula": "K2SrCd9",
  "functional": "PBE",
  "state": "optimized geometry",
  "dft_energy_ev_per_cell": -13.65,
  "space_group": "R-3m (166)",
  "dos_at_fermi_per_ev_atom": 0.67,
  "total_magnetization_mub_per_cell": 0.00,
  "cell": [[6.188, 0.000, 0.000], [3.094, 5.359, 0.000], [3.094, 1.786, 10.155]],
  "species": ["Cd", "Cd", "K", "K", "Cd", "Cd", "Cd", "Cd", "Sr", "Cd", "Cd", "Cd"],
  "fractional_positions": [[0.584, 0.077, 0.755], [0.665, 0.665, 0.005], [0.855, 0.855, 0.434], [0.145, 0.145, 0.566], [0.500, 0.500, 0.500], [0.923, 0.416, 0.245], [0.077, 0.584, 0.755], [0.416, 0.416, 0.245], [0.000, 0.000, 0.000], [0.416, 0.923, 0.245], [0.584, 0.584, 0.755], [0.335, 0.335, 0.995]]
}

***

No. 4
{
  "formula": "KSrCd4",
  "functional": "PBE",
  "state": "optimized geometry",
  "dft_energy_ev_per_cell": -7.48,
  "space_group": "F-43m (216)",
  "polymorph_energy_mev_per_atom": 8,
  "dos_at_fermi_per_ev_atom": 0.64,
  "total_magnetization_mub_per_cell": 0.00,
  "cell": [[-3.147, -3.709, 3.984], [1.135, -6.183, 0.102], [2.967, -2.571, 4.911]],
  "species": ["Cd", "K", "Cd", "Cd", "Cd", "Sr"],
  "fractional_positions": [[0.625, 0.625, 0.625], [0.250, 0.250, 0.250], [0.625, 0.625, 0.125], [0.125, 0.625, 0.625], [0.625, 0.125, 0.625], [0.000, 0.000, 0.000]]
}